Density functional theory data (PBE) for crystalline TbGe3Os2 at its relaxed geometry.

POSCAR file:
```
TbGe3Os2
1.0
-1.668 -2.779 2.774
6.335 -0.330 0.198
0.121 5.952 6.035
Tb Ge Os
2 6 4
Cartesian
2.075 0.849 2.098 Tb
2.713 1.994 6.909 Tb
0.512 -1.668 1.917 Ge
1.540 4.011 4.944 Ge
0.567 1.026 4.648 Ge
3.248 -1.168 4.063 Ge
4.277 4.511 7.090 Ge
4.222 1.817 4.359 Ge
0.000 0.000 0.000 Os
0.061 2.976 3.018 Os
5.213 -0.132 3.002 Os
-0.425 2.975 6.005 Os
```

Output
**Density**: 11.64 g cm⁻³
**Energy relative to the lowest polymorph listed for this composition**: 0.000 eV/atom
**Symmetry**: No. 63
**Energy relative to the elements**: -0.303 eV per atom